No. 1
The following is a DFT calculation (GGA-PBE) of a relaxed structure of LaCuRh2.

Summary:
V, Å³/cell: 70.8
Calculated density, g cm⁻³: 9.57
Magnetic moment, μB/cell: 0.00
Formation energy from the elements, eV per atom: -0.196

The structure in CIF format:
```
data_LaCuRh2
_chemical_formula_sum 'La1 Cu1 Rh2'
_cell_length_a 3.412
_cell_length_b 3.412
_cell_length_c 6.080
_cell_angle_alpha 90.00
_cell_angle_beta 90.00
_cell_angle_gamma 90.00
_symmetry_space_group_name_H-M 'P 4/m m m'
_symmetry_Int_Tables_number 123
_symmetry_space_group_name_Hall '-P 4 2'
loop_
_atom_site_label
_atom_site_type_symbol
_atom_site_fract_x
_atom_site_fract_y
_atom_site_fract_z
_atom_site_occupancy
La1 La 0.000 0.000 0.000 1
Cu1 Cu 0.000 0.000 0.500 1
Rh1 Rh 0.500 0.500 0.279 1
```

***

No. 2
The following is a DFT calculation (GGA-PBE) of a relaxed structure of La4CuRh.

Summary:
V, Å³/cell: 756.9
Distance to the lowest polymorph of the same formula, meV/atom: 64
Calculated density, g cm⁻³: 6.34
Magnetic moment, μB/cell: 0.00
Formation energy from the elements, eV per atom: -0.261

The structure in CIF format:
```
data_La4CuRh
_chemical_formula_sum 'La16 Cu4 Rh4'
_cell_length_a 8.469
_cell_length_b 15.421
_cell_length_c 7.126
_cell_angle_alpha 90.00
_cell_angle_beta 125.58
_cell_angle_gamma 90.00
_symmetry_space_group_name_H-M 'C 1 2/c 1'
_symmetry_Int_Tables_number 15
_symmetry_space_group_name_Hall '-C 2yc'
loop_
_atom_site_label
_atom_site_type_symbol
_atom_site_fract_x
_atom_site_fract_y
_atom_site_fract_z
_atom_site_occupancy
La1 La 0.227 0.211 0.230 1
La2 La 0.244 0.049 0.747 1
Cu1 Cu 0.000 0.405 0.750 1
Rh1 Rh 0.000 0.083 0.250 1
```